Density functional theory data (GGA-PBE) for a relaxed Pd2ICl crystal.

The structure in POSCAR format:
```
Pd2ICl
1.0
-0.544 1.624 -5.773
-5.539 -2.356 -0.141
-5.269 4.773 -1.301
Cl Pd I
2 4 2
direct
0.500 0.500 0.000
0.250 0.750 0.500
0.136 0.625 0.250
0.875 0.864 0.750
0.375 0.386 0.750
0.614 0.125 0.250
0.000 0.000 0.000
0.750 0.250 0.500
```

Computed properties:
distance to the lowest polymorph of the same formula	0	meV/atom
ΔE_f (raw)	0.06	eV/atom
uncorrected energy	-27.12	eV/cell
crystal system	tetragonal
SG	I-42d (122)


Density functional theory data (GGA-PBE) for a relaxed CsIBrO2 crystal.

The structure in POSCAR format:
```
CsIBrO2
1.0
-4.576 0.914 0.858
-1.178 -2.023 -4.127
-0.514 -5.019 2.607
Br O I Cs
1 2 1 1
direct
0.000 0.000 0.000
0.000 0.500 0.000
0.500 0.000 0.000
0.000 0.000 0.500
0.500 0.500 0.500
```

Computed properties:
distance to the lowest polymorph of the same formula	0	meV/atom
ΔE_f (raw)	0.27	eV/atom
uncorrected energy	-12.63	eV/cell
crystal system	tetragonal
SG	P4/mmm (123)


Density functional theory data (GGA-PBE) for a relaxed CdPPtCl2 crystal.

The structure in POSCAR format:
```
CdPPtCl2
1.0
5.049 0.000 0.000
0.000 5.049 0.000
0.000 0.000 4.608
P Cd Cl Pt
1 1 2 1
direct
0.000 0.000 0.500
0.500 0.500 0.500
0.000 0.500 0.000
0.500 0.000 0.000
0.000 0.000 0.000
```

Computed properties:
distance to the lowest polymorph of the same formula	0	meV/atom
ΔE_f (raw)	0.10	eV/atom
uncorrected energy	-15.57	eV/cell
crystal system	tetragonal
SG	P4/mmm (123)


Density functional theory data (GGA-PBE) for a relaxed Rb8BrO4 crystal.

The structure in POSCAR format:
```
Rb8BrO4
1.0
-6.387 -4.181 3.573
7.632 -0.115 3.576
-2.397 8.962 0.829
Rb O Br
8 4 1
direct
0.319 0.984 0.831
0.169 0.003 0.171
0.681 0.016 0.169
0.154 0.488 0.169
0.332 0.517 0.849
0.668 0.483 0.151
0.831 0.997 0.829
0.846 0.512 0.831
0.246 0.246 0.000
0.264 0.767 0.031
0.754 0.754 0.000
0.736 0.233 0.969
0.000 0.500 0.500
```

Computed properties:
distance to the lowest polymorph of the same formula	0	meV/atom
ΔE_f (raw)	-1.05	eV/atom
uncorrected energy	-42.88	eV/cell
crystal system	monoclinic
SG	C2/m (12)


Density functional theory data (GGA-PBE) for a relaxed La2AlCl crystal.

The structure in POSCAR format:
```
La2AlCl
1.0
3.550 0.663 0.000
-0.661 3.551 0.000
0.000 0.000 10.786
Cl La Al
1 2 1
direct
0.500 0.500 0.821
0.500 0.500 0.274
0.000 0.000 0.962
0.000 0.000 0.443
```

Computed properties:
distance to the lowest polymorph of the same formula	424	meV/atom
ΔE_f (raw)	-0.52	eV/atom
uncorrected energy	-17.53	eV/cell
crystal system	tetragonal
SG	P4mm (99)


Density functional theory data (GGA-PBE) for a relaxed Ba2PmThO6 crystal.

The structure in POSCAR format:
```
Ba2PmThO6
1.0
-4.857 -3.927 -1.203
3.509 -2.972 -4.466
3.096 -5.723 6.242
Th O Ba Pm
2 12 4 2
direct
0.500 0.000 0.000
0.000 0.500 0.500
0.282 0.712 0.453
0.218 0.212 0.047
0.788 0.781 0.548
0.288 0.719 0.048
0.586 0.027 0.247
0.712 0.281 0.952
0.718 0.288 0.547
0.086 0.473 0.747
0.212 0.219 0.452
0.782 0.788 0.953
0.414 0.973 0.753
0.914 0.527 0.253
0.510 0.532 0.750
0.010 0.968 0.250
0.490 0.468 0.250
0.990 0.032 0.750
0.000 0.500 0.000
0.500 0.000 0.500
```

Computed properties:
ΔE_f (raw)	-3.00	eV/atom
uncorrected energy	-151.62	eV/cell
crystal system	monoclinic
SG	P2_1/c (14)


Density functional theory data (GGA-PBE) for a relaxed CsSrHgBr5 crystal.

The structure in POSCAR format:
```
CsSrHgBr5
1.0
8.461 0.039 -0.061
-2.433 8.104 -0.061
-2.574 -3.477 10.134
Br Hg Cs Sr
10 2 2 2
direct
0.902 0.323 0.108
0.082 0.918 0.250
0.382 0.251 0.060
0.098 0.677 0.892
0.749 0.618 0.440
0.677 0.098 0.392
0.323 0.902 0.608
0.251 0.382 0.560
0.618 0.749 0.940
0.918 0.082 0.750
0.685 0.315 0.250
0.315 0.685 0.750
0.655 0.345 0.750
0.345 0.655 0.250
0.000 0.000 0.000
0.000 0.000 0.500
```

Computed properties:
ΔE_f (raw)	-1.42	eV/atom
uncorrected energy	-45.12	eV/cell
crystal system	monoclinic
SG	C2/c (15)


Density functional theory data (GGA-PBE) for a relaxed Rb3Np2MnS6 crystal.

The structure in POSCAR format:
```
Rb3Np2MnS6
1.0
6.977 -0.002 0.001
-3.488 6.042 0.001
-1.162 -2.012 7.639
S Mn Rb Np
6 1 3 2
direct
0.062 0.390 0.187
0.390 0.062 0.187
0.938 0.610 0.813
0.735 0.735 0.186
0.610 0.938 0.813
0.265 0.265 0.814
0.000 0.000 0.000
0.500 0.500 0.500
0.165 0.835 0.500
0.835 0.165 0.500
0.333 0.667 0.000
0.667 0.333 0.000
```

Computed properties:
ΔE_f (raw)	-1.19	eV/atom
uncorrected energy	-77.02	eV/cell
crystal system	monoclinic
SG	C2/m (12)


no.,M_tot (Bohr magnetons per cell)
1,0.00
2,0.48
3,0.00
4,1.10
5,0.00
6,2.06
7,0.00
8,12.00